# 1
A relaxed structure of MnSbTe, computed with GGA-PBE. Values from VASP.

The structure in Quantum ESPRESSO input format:
```
&SYSTEM
  ibrav = 0, nat = 3, ntyp = 3
/
ATOMIC_SPECIES
Te 127.60 Te.upf
Sb 121.76 Sb.upf
Mn 54.94 Mn.upf
ATOMIC_POSITIONS angstrom
Te 0.136 -4.487 3.679
Sb 0.000 0.000 0.000
Mn 0.204 -6.730 5.518
CELL_PARAMETERS angstrom
-1.753 -4.306 0.917
2.762 -3.315 1.959
-0.737 -1.353 4.481
```

As for the total magnetization: 3.061 Bohr magnetons per cell. For the total energy, the calculation gives -5.36 eV per atom. As for the offset from the most stable computed form: 0.44 eV per formula unit.

=====

# 2
A relaxed structure of Mn2SbTe, computed with GGA-PBE. Values from VASP.

The structure in Quantum ESPRESSO input format:
```
&SYSTEM
  ibrav = 0, nat = 8, ntyp = 3
/
ATOMIC_SPECIES
Mn 54.94 Mn.upf
Sb 121.76 Sb.upf
Te 127.60 Te.upf
ATOMIC_POSITIONS angstrom
Mn -1.317 -1.446 4.843
Mn 2.836 0.098 4.428
Mn 1.675 -1.047 11.951
Mn 0.568 0.895 8.104
Sb 3.031 0.413 7.103
Sb 1.157 -1.946 3.879
Te 0.000 0.000 0.000
Te -1.150 -1.164 7.559
CELL_PARAMETERS angstrom
-3.024 -3.523 4.335
5.337 -0.368 3.423
-0.433 3.141 6.904
```

As for the total magnetization: 18.000 Bohr magnetons per cell. For the total energy, the calculation gives -6.20 eV per atom.

=====

# 3
A relaxed structure of MnSb2Te, computed with GGA-PBE. Values from VASP.

The structure in Quantum ESPRESSO input format:
```
&SYSTEM
  ibrav = 0, nat = 8, ntyp = 3
/
ATOMIC_SPECIES
Sb 121.76 Sb.upf
Te 127.60 Te.upf
Mn 54.94 Mn.upf
ATOMIC_POSITIONS angstrom
Sb -1.987 -0.925 4.415
Sb -3.146 -6.421 9.693
Sb -0.583 -4.712 7.205
Sb -1.077 -4.475 2.914
Te -2.430 -2.281 7.115
Te 0.000 0.000 0.000
Mn -2.730 -2.533 2.544
Mn -0.966 -5.985 4.998
CELL_PARAMETERS angstrom
-4.194 1.170 4.661
-1.266 -6.237 0.427
2.064 -3.200 7.025
```

As for the total magnetization: 6.024 Bohr magnetons per cell. For the total energy, the calculation gives -4.80 eV per atom.

=====

# 4
A relaxed structure of MnSb2Te, computed with GGA-PBE. Values from VASP.

The structure in Quantum ESPRESSO input format:
```
&SYSTEM
  ibrav = 0, nat = 4, ntyp = 3
/
ATOMIC_SPECIES
Te 127.60 Te.upf
Sb 121.76 Sb.upf
Mn 54.94 Mn.upf
ATOMIC_POSITIONS angstrom
Te 0.000 0.000 4.256
Sb 1.775 1.775 1.699
Sb 0.000 0.000 7.333
Mn 1.775 1.775 5.782
CELL_PARAMETERS angstrom
3.550 0.000 0.000
0.000 3.550 0.000
0.000 0.000 7.628
```

As for the total magnetization: 3.039 Bohr magnetons per cell. For the total energy, the calculation gives -4.94 eV per atom.

=====

# 5
A relaxed structure of MnSb2Te, computed with GGA-PBE. Values from VASP.

The structure in Quantum ESPRESSO input format:
```
&SYSTEM
  ibrav = 0, nat = 4, ntyp = 3
/
ATOMIC_SPECIES
Mn 54.94 Mn.upf
Sb 121.76 Sb.upf
Te 127.60 Te.upf
ATOMIC_POSITIONS angstrom
Mn 0.000 2.646 1.785
Sb 0.000 0.000 0.000
Sb 2.646 2.646 0.000
Te 2.646 0.000 1.785
CELL_PARAMETERS angstrom
5.293 0.000 0.000
0.000 5.293 0.000
0.000 0.000 3.570
```

As for the total magnetization: 4.322 Bohr magnetons per cell. For the total energy, the calculation gives -4.75 eV per atom.

=====

# 6
A relaxed structure of MnSbTe3, computed with GGA-PBE. Values from VASP.

The structure in Quantum ESPRESSO input format:
```
&SYSTEM
  ibrav = 0, nat = 10, ntyp = 3
/
ATOMIC_SPECIES
Te 127.60 Te.upf
Sb 121.76 Sb.upf
Mn 54.94 Mn.upf
ATOMIC_POSITIONS angstrom
Te 3.325 -1.330 -3.053
Te 6.696 0.849 0.494
Te 3.521 -5.779 -0.076
Te 5.454 -2.563 -0.579
Te 1.107 -3.350 -0.743
Te 3.340 1.313 -0.343
Sb 1.745 -0.911 0.879
Sb 4.140 -2.162 2.085
Mn 5.291 -0.065 -1.654
Mn 3.488 -3.828 -1.978
CELL_PARAMETERS angstrom
-1.257 -6.055 -3.783
4.151 5.236 -2.812
5.885 -3.073 2.964
```

As for the total magnetization: 5.982 Bohr magnetons per cell. For the total energy, the calculation gives -4.60 eV per atom. As for the offset from the most stable computed form: 0.00 eV per formula unit.

=====

Computed formation energy (no corrections), in the same sequence as the records: 0.117, 0.204, 0.344, 0.203, 0.394, -0.055 eV/atom.